First-principles (PBE-GGA) data for an optimized crystal structure of Na3Ho3ScS8, as listed in Alexandria via LeMat-Bulk.

## Properties
ΔE_f (raw): -1.7256 eV per atom

```
data_Na3Ho3ScS8
_chemical_formula_sum 'Na3 Ho3 Sc1 S8'
_cell_length_a 8.095
_cell_length_b 8.095
_cell_length_c 8.095
_cell_angle_alpha 57.79
_cell_angle_beta 57.79
_cell_angle_gamma 57.79
_symmetry_space_group_name_H-M 'P 1'
_symmetry_Int_Tables_number 1
_symmetry_space_group_name_Hall 'P 1'
loop_
_atom_site_label
_atom_site_type_symbol
_atom_site_fract_x
_atom_site_fract_y
_atom_site_fract_z
_atom_site_occupancy
Na1 Na 0.000 0.500 0.500 1
Na2 Na 0.500 0.000 0.500 1
Na3 Na 0.500 0.500 0.000 1
Ho1 Ho 0.000 0.000 0.500 1
Ho2 Ho 0.000 0.500 0.000 1
Ho3 Ho 0.500 0.000 0.000 1
Sc1 Sc 0.500 0.500 0.500 1
S1 S 0.243 0.243 0.243 1
S2 S 0.251 0.733 0.733 1
S3 S 0.267 0.267 0.749 1
S4 S 0.267 0.749 0.267 1
S5 S 0.733 0.251 0.733 1
S6 S 0.733 0.733 0.251 1
S7 S 0.749 0.267 0.267 1
S8 S 0.757 0.757 0.757 1
```